The following is a GGA-PBE calculation of crystalline Mn2PdAu4 at its relaxed geometry, from Alexandria.

extended XYZ file:
```
7
Lattice="0.0000 4.0714 4.0998 3.8469 0.0000 4.0998 3.8469 4.0714 0.0000" Properties=species:S:1:pos:R:3 pbc="T T T"
Mn 3.8469 2.0357 2.0499
Mn 0.0000 2.0357 2.0499
Pd 0.0000 0.0000 0.0000
Au 1.9235 2.0357 0.0000
Au 1.9235 0.0000 2.0499
Au 1.9235 4.0714 2.0499
Au 1.9235 2.0357 4.0998
```

VASP energy: -5.2675 eV per atom
space group: Fmmm
volume: 18.3 A^3/atom
M_tot: 9.07 μB/f.u.

---

The following is a GGA-PBE calculation of crystalline Mn5Pd6Au at its relaxed geometry, from Alexandria.

extended XYZ file:
```
12
Lattice="-2.1035 3.5109 6.2641 2.1035 -3.5109 6.2641 2.1035 3.5109 -6.2641" Properties=species:S:1:pos:R:3 pbc="T T T"
Mn 0.0000 0.0000 0.0000
Mn 2.1035 0.0000 2.1826
Mn 0.0000 0.0000 4.3150
Mn 0.0000 0.0000 8.2132
Mn 0.0000 3.5109 4.0814
Pd 2.1035 -1.8542 4.1357
Pd 2.1035 1.5860 0.0000
Pd 0.0000 1.6567 2.1284
Pd 2.1035 1.8542 4.1357
Pd 0.0000 1.9249 6.2641
Pd 0.0000 5.3652 2.1284
Au 0.0000 3.5109 0.0000
```

VASP energy: -6.9011 eV per atom
space group: Immm
volume: 15.4 A^3/atom
M_tot: 22.57 μB/f.u.

---

The following is a GGA-PBE calculation of crystalline MnPd7Au4 at its relaxed geometry, from Alexandria.

extended XYZ file:
```
12
Lattice="4.8873 0.0000 0.0000 0.1640 5.5691 0.0000 0.0839 1.9639 7.3794" Properties=species:S:1:pos:R:3 pbc="T T T"
Mn 0.0000 0.0000 0.0000
Pd 1.2260 2.4391 3.0074
Pd 1.3519 5.2033 2.5646
Pd 1.3052 3.1475 0.4749
Pd 2.4437 0.0000 0.0000
Pd 3.8300 4.3855 6.9045
Pd 3.7833 2.3297 4.8147
Pd 3.9093 5.0939 4.3719
Au 1.3575 3.6534 5.4509
Au 1.4814 6.3501 5.1920
Au 3.6538 1.1829 2.1873
Au 3.7777 3.8796 1.9284
```

space group: P-1
volume: 16.7 A^3/atom
offset from the most stable computed form: 0 meV/atom
M_tot: 4.93 μB/f.u.

---

The following is a GGA-PBE calculation of crystalline MnPd3Au7 at its relaxed geometry, from Alexandria.

extended XYZ file:
```
11
Lattice="5.7518 0.0000 0.0000 -2.8759 4.9812 0.0000 0.0000 0.0000 6.9128" Properties=species:S:1:pos:R:3 pbc="T T T"
Mn 0.0000 0.0000 0.0000
Pd 0.0000 1.6328 4.7831
Pd -1.4619 4.1648 4.7831
Pd 1.4619 4.1648 4.7831
Au 0.0000 3.3208 2.5219
Au 1.4403 0.8316 2.4879
Au 2.8759 0.0238 0.0568
Au 1.4586 2.4787 0.0568
Au 4.3115 0.8316 2.4879
Au 2.8759 3.3181 2.4879
Au 4.2932 2.4787 0.0568
```

VASP energy: -4.3409 eV per atom
space group: P3m1
volume: 18.0 A^3/atom
M_tot: 4.47 μB/f.u.